# Ca5PdPt4, optimized geometry, DFT PBE
data_Ca5PdPt4
_symmetry_space_group_name_H-M 'P 4/m m m'
_symmetry_Int_Tables_number 123
_symmetry_space_group_name_Hall '-P 4 2'
_cell_length_a 3.599
_cell_length_b 3.599
_cell_length_c 16.446
_cell_angle_alpha 90.00
_cell_angle_beta 90.00
_cell_angle_gamma 90.00
loop_
_atom_site_label
_atom_site_type_symbol
_atom_site_fract_x
_atom_site_fract_y
_atom_site_fract_z
Ca1 Ca 0.000 0.000 0.000
Ca2 Ca 0.000 0.000 0.199
Ca3 Ca 0.000 0.000 0.397
Pd1 Pd 0.500 0.500 0.500
Pt1 Pt 0.500 0.500 0.100
Pt2 Pt 0.500 0.500 0.299
# **Formation enthalpy at 0 K**: -0.831 eV/atom
# **Energy**: -0.3504 Ry per atom
# **D(E_F)**: 2.4 states/eV/cell


# AlInF4, optimized geometry, DFT PBE
data_AlInF4
_symmetry_space_group_name_H-M 'P -1'
_symmetry_Int_Tables_number 2
_symmetry_space_group_name_Hall '-P 1'
_cell_length_a 5.744
_cell_length_b 6.112
_cell_length_c 7.068
_cell_angle_alpha 72.33
_cell_angle_beta 66.65
_cell_angle_gamma 83.01
loop_
_atom_site_label
_atom_site_type_symbol
_atom_site_fract_x
_atom_site_fract_y
_atom_site_fract_z
Al1 Al 0.249 0.000 0.000
In1 In 0.253 0.268 0.427
F1 F 0.002 0.208 0.941
F2 F 0.115 0.001 0.276
F3 F 0.385 0.997 0.725
F4 F 0.498 0.208 0.948
# **Energy**: -0.3848 Ry per atom
# **Formation energy (no corrections)**: -2.908 eV per atom
# **D(E_F)**: 0.0 states/eV/cell


# Nd12Dy5Ho, optimized geometry, DFT PBE
data_Nd12Dy5Ho
_symmetry_space_group_name_H-M 'C m m m'
_symmetry_Int_Tables_number 65
_symmetry_space_group_name_Hall '-C 2 2'
_cell_length_a 15.390
_cell_length_b 15.436
_cell_length_c 5.148
_cell_angle_alpha 90.00
_cell_angle_beta 90.00
_cell_angle_gamma 90.00
loop_
_atom_site_label
_atom_site_type_symbol
_atom_site_fract_x
_atom_site_fract_y
_atom_site_fract_z
Nd1 Nd 0.165 0.000 0.000
Nd2 Nd 0.165 0.167 0.500
Nd3 Nd 0.165 0.333 0.000
Nd4 Nd 0.165 0.500 0.500
Dy1 Dy 0.000 0.000 0.500
Dy2 Dy 0.000 0.167 0.000
Dy3 Dy 0.000 0.333 0.500
Ho1 Ho 0.000 0.500 0.000
# **Formation enthalpy at 0 K**: 0.019 eV/atom
# **Energy**: -0.3449 Ry per atom
# **D(E_F)**: 55.7 states/eV/cell


# Pu5SnAu2, optimized geometry, DFT PBE
data_Pu5SnAu2
_symmetry_space_group_name_H-M 'P -1'
_symmetry_Int_Tables_number 2
_symmetry_space_group_name_Hall '-P 1'
_cell_length_a 6.249
_cell_length_b 6.375
_cell_length_c 6.385
_cell_angle_alpha 105.63
_cell_angle_beta 104.65
_cell_angle_gamma 118.13
loop_
_atom_site_label
_atom_site_type_symbol
_atom_site_fract_x
_atom_site_fract_y
_atom_site_fract_z
Pu1 Pu 0.000 0.000 0.000
Pu2 Pu 0.000 0.000 0.500
Pu3 Pu 0.000 0.500 0.000
Pu4 Pu 0.500 0.000 0.000
Pu5 Pu 0.500 0.500 0.500
Sn1 Sn 0.500 0.500 0.000
Au1 Au 0.000 0.500 0.500
Au2 Au 0.500 0.000 0.500
# **Formation enthalpy at 0 K**: -0.174 eV/atom
# **Energy**: -0.7681 Ry per atom
# **D(E_F)**: 39.4 states/eV/cell


# Ca2CdGe2Rh5, optimized geometry, DFT PBE
data_Ca2CdGe2Rh5
_symmetry_space_group_name_H-M 'P 4/m b m'
_symmetry_Int_Tables_number 127
_symmetry_space_group_name_Hall '-P 4 2ab'
_cell_length_a 10.066
_cell_length_b 10.066
_cell_length_c 3.469
_cell_angle_alpha 90.00
_cell_angle_beta 90.00
_cell_angle_gamma 90.00
loop_
_atom_site_label
_atom_site_type_symbol
_atom_site_fract_x
_atom_site_fract_y
_atom_site_fract_z
Ca1 Ca 0.173 0.327 0.000
Cd1 Cd 0.000 0.000 0.000
Ge1 Ge 0.126 0.626 0.000
Rh1 Rh 0.000 0.500 0.500
Rh2 Rh 0.068 0.788 0.500
# **Formation enthalpy at 0 K**: -0.568 eV/atom
# **Energy**: -0.4159 Ry per atom
# **D(E_F)**: 10.4 states/eV/cell


# Mg2CuSe2, optimized geometry, DFT PBE
data_Mg2CuSe2
_symmetry_space_group_name_H-M 'P -3 m 1'
_symmetry_Int_Tables_number 164
_symmetry_space_group_name_Hall '-P 3 2"'
_cell_length_a 4.6567
_cell_length_b 4.6567
_cell_length_c 5.6108
_cell_angle_alpha 90.00
_cell_angle_beta 90.00
_cell_angle_gamma 120.00
loop_
_atom_site_label
_atom_site_type_symbol
_atom_site_fract_x
_atom_site_fract_y
_atom_site_fract_z
Mg1 Mg 0.3333 0.6667 0.2503
Cu1 Cu 0.0000 0.0000 0.5000
Se1 Se 0.3333 0.6667 0.7515
# **Energy**: -0.2467 Ry per atom
# **Formation energy (no corrections)**: -0.506 eV per atom
# **D(E_F)**: 3.1 states/eV/cell


# MoIr2Cl, optimized geometry, DFT PBE
data_MoIr2Cl
_symmetry_space_group_name_H-M 'I 4/m m m'
_symmetry_Int_Tables_number 139
_symmetry_space_group_name_Hall '-I 4 2'
_cell_length_a 4.031
_cell_length_b 4.031
_cell_length_c 7.636
_cell_angle_alpha 90.00
_cell_angle_beta 90.00
_cell_angle_gamma 90.00
loop_
_atom_site_label
_atom_site_type_symbol
_atom_site_fract_x
_atom_site_fract_y
_atom_site_fract_z
Mo1 Mo 0.000 0.000 0.000
Ir1 Ir 0.000 0.500 0.250
Cl1 Cl 0.000 0.000 0.500
# **Energy**: -0.4998 Ry per atom
# **Formation energy (no corrections)**: 0.800 eV per atom
# **D(E_F)**: 9.0 states/eV/cell


# SrCo3Sn, optimized geometry, DFT PBE
data_SrCo3Sn
_symmetry_space_group_name_H-M 'P m -3 m'
_symmetry_Int_Tables_number 221
_symmetry_space_group_name_Hall '-P 4 2 3'
_cell_length_a 4.749
_cell_length_b 4.749
_cell_length_c 4.749
_cell_angle_alpha 90.00
_cell_angle_beta 90.00
_cell_angle_gamma 90.00
loop_
_atom_site_label
_atom_site_type_symbol
_atom_site_fract_x
_atom_site_fract_y
_atom_site_fract_z
Sr1 Sr 0.000 0.000 0.000
Co1 Co 0.000 0.000 0.500
Sn1 Sn 0.500 0.500 0.500
# **Formation enthalpy at 0 K**: 1.912 eV/atom
# **Energy**: -0.2564 Ry per atom
# **D(E_F)**: 15.1 states/eV/cell


# NdBe4Rh, optimized geometry, DFT PBE
data_NdBe4Rh
_symmetry_space_group_name_H-M 'F -4 3 m'
_symmetry_Int_Tables_number 216
_symmetry_space_group_name_Hall 'F -4 2 3'
_cell_length_a 6.762
_cell_length_b 6.762
_cell_length_c 6.762
_cell_angle_alpha 90.00
_cell_angle_beta 90.00
_cell_angle_gamma 90.00
loop_
_atom_site_label
_atom_site_type_symbol
_atom_site_fract_x
_atom_site_fract_y
_atom_site_fract_z
Nd1 Nd 0.000 0.000 0.000
Be1 Be 0.120 0.120 0.380
Rh1 Rh 0.250 0.250 0.750
# **Formation enthalpy at 0 K**: -0.171 eV/atom
# **Energy**: -0.3436 Ry per atom


# YSe3, optimized geometry, DFT PBE
data_YSe3
_symmetry_space_group_name_H-M 'P 4/m m m'
_symmetry_Int_Tables_number 123
_symmetry_space_group_name_Hall '-P 4 2'
_cell_length_a 3.898
_cell_length_b 3.898
_cell_length_c 6.131
_cell_angle_alpha 90.00
_cell_angle_beta 90.00
_cell_angle_gamma 90.00
loop_
_atom_site_label
_atom_site_type_symbol
_atom_site_fract_x
_atom_site_fract_y
_atom_site_fract_z
Y1 Y 0.000 0.000 0.000
Se1 Se 0.000 0.000 0.500
Se2 Se 0.500 0.500 0.210
# **Energy**: -0.3693 Ry per atom
# **Formation energy (no corrections)**: -0.795 eV per atom
# **D(E_F)**: 3.1 states/eV/cell


# Na2CuAgH4, optimized geometry, DFT PBE
data_Na2CuAgH4
_symmetry_space_group_name_H-M 'I -4 2 m'
_symmetry_Int_Tables_number 121
_symmetry_space_group_name_Hall 'I -4 2'
_cell_length_a 6.047
_cell_length_b 6.047
_cell_length_c 5.315
_cell_angle_alpha 90.00
_cell_angle_beta 90.00
_cell_angle_gamma 90.00
loop_
_atom_site_label
_atom_site_type_symbol
_atom_site_fract_x
_atom_site_fract_y
_atom_site_fract_z
Na1 Na 0.000 0.500 0.000
Cu1 Cu 0.000 0.000 0.000
Ag1 Ag 0.000 0.000 0.500
H1 H 0.151 0.151 0.796
# **Energy**: -0.2080 Ry per atom
# **D(E_F)**: 0.0 states/eV/cell


# K3Ce2PmS6, optimized geometry, DFT PBE
data_K3Ce2PmS6
_symmetry_space_group_name_H-M 'C 1 2/m 1'
_symmetry_Int_Tables_number 12
_symmetry_space_group_name_Hall '-C 2y'
_cell_length_a 7.278
_cell_length_b 12.605
_cell_length_c 7.754
_cell_angle_alpha 90.00
_cell_angle_beta 108.23
_cell_angle_gamma 90.00
loop_
_atom_site_label
_atom_site_type_symbol
_atom_site_fract_x
_atom_site_fract_y
_atom_site_fract_z
K1 K 0.000 0.000 0.000
K2 K 0.000 0.334 0.000
Ce1 Ce 0.000 0.167 0.500
Pm1 Pm 0.000 0.500 0.500
S1 S 0.235 0.334 0.706
S2 S 0.237 0.000 0.706
# **Energy**: -0.4069 Ry per atom
# **Formation energy (no corrections)**: -1.813 eV per atom
# **D(E_F)**: 23.4 states/eV/cell